#a
DFT (PBE) results for a relaxed structure of TlCrCu2S.

Properties
* volume: 91.27 Å³ per cell
* total moment: 3.32 μB per cell

Cell lengths 4.474, 4.474, 4.559 Å; angles 90.00, 90.00, 90.00 degrees
Space group P4/mmm (No. 123)
Inequivalent atoms, fractional coordinates:
Tl  0.000  0.000  0.000 [1 per cell]
Cr  0.500  0.500  0.000 [1 per cell]
Cu  0.000  0.500  0.500 [2 per cell]
S  0.500  0.500  0.500 [1 per cell]


#b
DFT (PBE) results for a relaxed structure of TlCrCu2S.

Properties
* volume: 126.52 Å³ per cell
* total moment: 4.68 μB per cell

Cell lengths 4.840, 4.840, 5.400 Å; angles 90.00, 90.00, 90.00 degrees
Space group P4/mmm (No. 123)
Inequivalent atoms, fractional coordinates:
Tl  0.000  0.000  0.000 [1 per cell]
Cr  0.500  0.500  0.500 [1 per cell]
Cu  0.000  0.500  0.000 [2 per cell]
S  0.000  0.000  0.500 [1 per cell]


The relative energies come out as #a 0.000; #b 0.906, with values in eV/atom.


#a
DFT (PBE) results for a relaxed structure of ZrCrCuS4.

Properties
* volume: 580.61 Å³ per cell
* total moment: 12.00 μB per cell

Cell lengths 11.637, 3.530, 14.134 Å; angles 90.00, 90.00, 90.00 degrees
Space group Pnma (No. 62)
Inequivalent atoms, fractional coordinates:
Zr  0.168  0.250  0.136 [4 per cell]
Cr  0.111  0.250  0.549 [4 per cell]
Cu  0.085  0.750  0.975 [4 per cell]
S  0.005  0.750  0.127 [4 per cell]
S  0.012  0.250  0.404 [4 per cell]
S  0.206  0.250  0.706 [4 per cell]
S  0.247  0.750  0.480 [4 per cell]


#b
DFT (PBE) results for a relaxed structure of ZrCrCuS4.

Properties
* volume: 523.66 Å³ per cell
* total moment: 11.99 μB per cell

Cell lengths 7.081, 6.693, 11.048 Å; angles 90.00, 90.00, 90.00 degrees
Space group Pmn2_1 (No. 31)
Inequivalent atoms, fractional coordinates:
Zr  0.000  0.162  0.000 [2 per cell]
Zr  0.000  0.283  0.677 [2 per cell]
Cr  0.000  0.652  0.909 [2 per cell]
Cr  0.000  0.787  0.199 [2 per cell]
Cu  0.000  0.393  0.377 [2 per cell]
Cu  0.000  0.903  0.576 [2 per cell]
S  0.000  0.125  0.240 [2 per cell]
S  0.000  0.491  0.091 [2 per cell]
S  0.000  0.577  0.562 [2 per cell]
S  0.000  0.932  0.785 [2 per cell]
S  0.234  0.378  0.841 [4 per cell]
S  0.237  0.872  0.033 [4 per cell]


#c
DFT (PBE) results for a relaxed structure of ZrCrCuS4.

Properties
* volume: 531.19 Å³ per cell
* total moment: 11.97 μB per cell

Cell lengths 7.251, 10.117, 7.241 Å; angles 90.00, 90.00, 90.00 degrees
Space group Ima2 (No. 46)
Inequivalent atoms, fractional coordinates:
Zr  0.250  0.249  0.000 [4 per cell]
Cr  0.000  0.000  0.248 [4 per cell]
Cu  0.250  0.621  0.248 [4 per cell]
S  0.000  0.241  0.249 [8 per cell]
S  0.250  0.503  0.975 [4 per cell]
S  0.250  0.504  0.521 [4 per cell]


The relative energies come out as #a 0.125; #b 0.313; #c 0.000, with values in eV/atom.


#a
DFT (PBE) results for a relaxed structure of Cr2Cu2Sb.

Properties
* volume: 148.74 Å³ per cell
* total moment: 2.00 μB per cell

Cell lengths 3.513, 3.513, 12.055 Å; angles 90.00, 90.00, 90.00 degrees
Space group I4/mmm (No. 139)
Inequivalent atoms, fractional coordinates:
Cr  0.000  0.000  0.093 [4 per cell]
Cu  0.000  0.500  0.250 [4 per cell]
Sb  0.000  0.000  0.500 [2 per cell]


#b
DFT (PBE) results for a relaxed structure of Cr2Cu2Sb.

Properties
* volume: 149.60 Å³ per cell
* total moment: 0.00 μB per cell

Cell lengths 6.442, 6.442, 3.605 Å; angles 90.00, 90.00, 90.00 degrees
Space group P4/mbm (No. 127)
Inequivalent atoms, fractional coordinates:
Cr  0.107  0.393  0.000 [4 per cell]
Cu  0.179  0.679  0.500 [4 per cell]
Sb  0.000  0.000  0.000 [2 per cell]


The relative energies come out as #a 0.119; #b 0.000, with values in eV/atom.


#a
DFT (PBE) results for a relaxed structure of ScCr2Cu.

Properties
* volume: 113.03 Å³ per cell
* total moment: 0.00 μB per cell

Cell lengths 8.575, 2.598, 5.090 Å; angles 90.00, 94.48, 90.00 degrees
Space group Cm (No. 8)
Inequivalent atoms, fractional coordinates:
Sc  0.000  0.000  0.000 [2 per cell]
Cr  0.236  0.000  0.689 [2 per cell]
Cr  0.475  0.000  0.515 [2 per cell]
Cu  0.248  0.500  0.243 [2 per cell]


#b
DFT (PBE) results for a relaxed structure of ScCr2Cu.

Properties
* volume: 60.26 Å³ per cell
* total moment: 0.42 μB per cell

Cell lengths 3.213, 4.218, 4.447 Å; angles 90.00, 90.00, 90.00 degrees
Space group Pmmm (No. 47)
Inequivalent atoms, fractional coordinates:
Sc  0.000  0.000  0.000 [1 per cell]
Cr  0.000  0.500  0.500 [1 per cell]
Cr  0.500  0.000  0.500 [1 per cell]
Cu  0.500  0.500  0.000 [1 per cell]


The relative energies come out as #a 0.172; #b 0.000, with values in eV/atom.


#a
DFT (PBE) results for a relaxed structure of ScCrCu.

Properties
* volume: 185.29 Å³ per cell
* total moment: 0.00 μB per cell

Cell lengths 9.533, 3.132, 6.444 Å; angles 90.00, 105.65, 90.00 degrees
Space group C2/m (No. 12)
Inequivalent atoms, fractional coordinates:
Sc  0.018  0.000  0.257 [4 per cell]
Cr  0.194  0.500  0.057 [4 per cell]
Cu  0.180  0.500  0.601 [4 per cell]


#b
DFT (PBE) results for a relaxed structure of ScCrCu.

Properties
* volume: 227.76 Å³ per cell
* total moment: 14.62 μB per cell

Cell lengths 6.107, 6.107, 6.107 Å; angles 90.00, 90.00, 90.00 degrees
Space group F-43m (No. 216)
Inequivalent atoms, fractional coordinates:
Sc  0.000  0.000  0.000 [4 per cell]
Cr  0.000  0.000  0.500 [4 per cell]
Cu  0.250  0.250  0.750 [4 per cell]


The relative energies come out as #a 0.000; #b 0.316, with values in eV/atom.


#a
DFT (PBE) results for a relaxed structure of ScCrCu.

Properties
* volume: 182.57 Å³ per cell
* total moment: 3.04 μB per cell

Cell lengths 4.559, 5.281, 7.583 Å; angles 90.00, 90.00, 90.00 degrees
Space group Imma (No. 74)
Inequivalent atoms, fractional coordinates:
Sc  0.000  0.250  0.113 [4 per cell]
Cr  0.250  0.250  0.750 [4 per cell]
Cu  0.000  0.000  0.500 [4 per cell]


#b
DFT (PBE) results for a relaxed structure of ScCrCu.

Properties
* volume: 192.45 Å³ per cell
* total moment: 0.00 μB per cell

Cell lengths 4.263, 6.290, 7.177 Å; angles 90.00, 90.00, 90.00 degrees
Space group Imm2 (No. 44)
Inequivalent atoms, fractional coordinates:
Sc  0.000  0.000  0.000 [2 per cell]
Sc  0.000  0.500  0.107 [2 per cell]
Cr  0.000  0.345  0.723 [4 per cell]
Cu  0.000  0.205  0.395 [4 per cell]


#c
DFT (PBE) results for a relaxed structure of ScCrCu.

Properties
* volume: 50.91 Å³ per cell
* total moment: 3.17 μB per cell

Cell lengths 4.3170, 4.3170, 3.1546 Å; angles 90.00, 90.00, 120.00 degrees
Space group P3m1 (No. 156)
Inequivalent atoms, fractional coordinates:
Sc  0.0000  0.0000  0.0000 [1 per cell]
Cr  0.6667  0.3333  0.4981 [1 per cell]
Cu  0.3333  0.6667  0.5025 [1 per cell]


The relative energies come out as #a 0.000; #b 0.108; #c 0.198, with values in eV/atom.